[1]
Material: Co8Pb
Method: DFT, GGA-PBE
State: optimized geometry

Cell: 5.7893 5.7893 5.7893 Å, 95.76 95.76 143.06°
With the nearest neighbours (Å) after each atom.
Fractional coordinates of all 9 atoms:
Pb (0.0000, 0.0000, 0.0000)  12 Co 2.71-2.72
Co (0.3491, 0.0000, 0.3491)  7 Co 2.34-2.47
Co (0.0000, 0.3491, 0.3491)  7 Co 2.34-2.47
Co (0.3166, 0.6834, 0.0000)  4 Co 2.35-2.47
Co (0.6834, 0.3166, 0.0000)  4 Co 2.35-2.47
Co (0.0000, 0.6509, 0.6509)  7 Co 2.34-2.47
Co (0.6509, 0.0000, 0.6509)  7 Co 2.34-2.47
Co (0.3166, 0.3166, 0.6332)  4 Co 2.35-2.47
Co (0.6834, 0.6834, 0.3668)  4 Co 2.35-2.47

Properties
The magnetic moment comes out at 1.355 μB per atom. The value obtained for the formation enthalpy at 0 K is 0.184 eV per atom. As for the crystal system: tetragonal. The calculated total energy comes out at -6.54 eV/atom. Its volume is 12.29 Å³ per atom.

***

[2]
Material: CoPb2
Method: DFT, GGA-PBE
State: optimized geometry

Cell: 6.5456 6.5456 6.5456 Å, 90.00 90.00 90.00°
With the nearest neighbours (Å) after each atom.
Fractional coordinates of all 12 atoms:
Co (0.5000, 0.0000, 0.5000)  6 Pb 2.67
Co (0.5000, 0.5000, 0.0000)  6 Pb 2.67
Co (0.0000, 0.0000, 0.0000)  6 Pb 2.67
Co (0.0000, 0.5000, 0.5000)  6 Pb 2.67
Pb (0.1641, 0.6641, 0.1641)  3 Co 2.67
Pb (0.1641, 0.8359, 0.6641)  3 Co 2.67
Pb (0.8359, 0.1641, 0.3359)  3 Co 2.67
Pb (0.3359, 0.3359, 0.6641)  3 Co 2.67
Pb (0.3359, 0.1641, 0.1641)  3 Co 2.67
Pb (0.6641, 0.6641, 0.3359)  3 Co 2.67
Pb (0.6641, 0.8359, 0.8359)  3 Co 2.67
Pb (0.8359, 0.3359, 0.8359)  3 Co 2.67

Properties
The magnetic moment comes out at 0.000 μB per atom. The value obtained for the formation enthalpy at 0 K is 0.351 eV per atom. As for the crystal system: cubic. The calculated total energy comes out at -4.49 eV/atom. Its volume is 23.37 Å³ per atom.

***

[3]
Material: Co3Pb
Method: DFT, GGA-PBE
State: optimized geometry

Cell: 5.4732 5.4732 8.6147 Å, 90.00 90.00 120.00°
With the nearest neighbours (Å) after each atom.
Fractional coordinates of all 16 atoms:
Co (0.5000, 0.5000, 0.0000)  8 Co 2.63-2.74, 4 Pb 2.67-2.74
Co (0.8153, 0.1847, 0.2500)  6 Co 2.44-2.63
Co (0.0000, 0.5000, 0.5000)  8 Co 2.63-2.74, 4 Pb 2.67-2.74
Co (0.5000, 0.0000, 0.5000)  8 Co 2.63-2.74, 4 Pb 2.67-2.74
Co (0.3694, 0.1847, 0.2500)  6 Co 2.44-2.63
Co (0.8153, 0.6306, 0.2500)  6 Co 2.44-2.63
Co (0.6306, 0.8153, 0.7500)  6 Co 2.44-2.63
Co (0.1847, 0.8153, 0.7500)  6 Co 2.44-2.63
Co (0.5000, 0.5000, 0.5000)  8 Co 2.63-2.74, 4 Pb 2.67-2.74
Co (0.5000, 0.0000, 0.0000)  8 Co 2.63-2.74, 4 Pb 2.67-2.74
Co (0.0000, 0.5000, 0.0000)  8 Co 2.63-2.74, 4 Pb 2.67-2.74
Co (0.1847, 0.3694, 0.7500)  6 Co 2.44-2.63
Pb (0.3333, 0.6667, 0.2500)  12 Co 2.67-2.74
Pb (0.6667, 0.3333, 0.7500)  12 Co 2.67-2.74
Pb (0.0000, 0.0000, 0.0000)  12 Co 2.74-2.78
Pb (0.0000, 0.0000, 0.5000)  12 Co 2.74-2.78

Properties
The magnetic moment comes out at 0.980 μB per atom. The value obtained for the formation enthalpy at 0 K is 0.442 eV per atom. As for the crystal system: hexagonal. The calculated total energy comes out at -5.81 eV/atom. Its volume is 13.97 Å³ per atom.

***

[4]
Material: CoPdPb2
Method: DFT, GGA-PBE
State: optimized geometry

Cell: 4.8248 4.8248 4.8248 Å, 60.00 60.00 60.00°
With the nearest neighbours (Å) after each atom.
Fractional coordinates of all 4 atoms:
Pd (0.5000, 0.5000, 0.5000)  8 Pb 2.95
Co (0.0000, 0.0000, 0.0000)  8 Pb 2.95
Pb (0.2500, 0.2500, 0.2500)  4 Co 2.95, 4 Pd 2.95
Pb (0.7500, 0.7500, 0.7500)  4 Pd 2.95, 4 Co 2.95

Properties
The magnetic moment comes out at 0.307 μB per atom. The value obtained for the formation enthalpy at 0 K is 0.264 eV per atom. As for the crystal system: cubic. Its offset from the most stable computed form is 0.00 kcal/mol of atoms. The calculated total energy comes out at -4.67 eV/atom. Its volume is 19.86 Å³ per atom.

***

What did the third record say?
Material: Co3Pb
Method: DFT, GGA-PBE
State: optimized geometry

Cell: 5.4732 5.4732 8.6147 Å, 90.00 90.00 120.00°
With the nearest neighbours (Å) after each atom.
Fractional coordinates of all 16 atoms:
Co (0.5000, 0.5000, 0.0000)  8 Co 2.63-2.74, 4 Pb 2.67-2.74
Co (0.8153, 0.1847, 0.2500)  6 Co 2.44-2.63
Co (0.0000, 0.5000, 0.5000)  8 Co 2.63-2.74, 4 Pb 2.67-2.74
Co (0.5000, 0.0000, 0.5000)  8 Co 2.63-2.74, 4 Pb 2.67-2.74
Co (0.3694, 0.1847, 0.2500)  6 Co 2.44-2.63
Co (0.8153, 0.6306, 0.2500)  6 Co 2.44-2.63
Co (0.6306, 0.8153, 0.7500)  6 Co 2.44-2.63
Co (0.1847, 0.8153, 0.7500)  6 Co 2.44-2.63
Co (0.5000, 0.5000, 0.5000)  8 Co 2.63-2.74, 4 Pb 2.67-2.74
Co (0.5000, 0.0000, 0.0000)  8 Co 2.63-2.74, 4 Pb 2.67-2.74
Co (0.0000, 0.5000, 0.0000)  8 Co 2.63-2.74, 4 Pb 2.67-2.74
Co (0.1847, 0.3694, 0.7500)  6 Co 2.44-2.63
Pb (0.3333, 0.6667, 0.2500)  12 Co 2.67-2.74
Pb (0.6667, 0.3333, 0.7500)  12 Co 2.67-2.74
Pb (0.0000, 0.0000, 0.0000)  12 Co 2.74-2.78
Pb (0.0000, 0.0000, 0.5000)  12 Co 2.74-2.78

Properties
The magnetic moment comes out at 0.980 μB per atom. The value obtained for the formation enthalpy at 0 K is 0.442 eV per atom. As for the crystal system: hexagonal. The calculated total energy comes out at -5.81 eV/atom. Its volume is 13.97 Å³ per atom.

***

Q: volume of number 3 (Co3Pb)?
A: 13.97 Å³ per atom

***

Q: The lowest magnetic moment belongs to which entry?
A: CoPb2